Entry from Alexandria via LeMat-Bulk: an optimized crystal structure of Li2Ga2Pt3 (PBE).

The structure in POSCAR format:
```
Li2Ga2Pt3
1.0
-2.239 3.452 -1.341
-1.953 -3.881 0.229
0.421 0.232 7.164
Li Ga Pt
2 2 3
direct
0.272 0.135 0.401
0.728 0.865 0.599
0.810 0.402 0.207
0.190 0.598 0.793
0.000 0.000 0.000
0.527 0.265 0.798
0.473 0.735 0.202
```

Computed properties:
Raw total energy, eV per cell: -32.54
N(E_F), states/eV per cell: 1.817
Formation energy, eV/f.u.: -4.5
E above lowest polymorph, eV/f.u.: 0.00
Crystal system: triclinic
M_tot, Bohr magnetons per cell: 0.00
Density, Mg/m³: 11.210